[1]
Material: Ag2AsPdS4
Method: DFT, PBE-GGA
State: relaxed

abc: 6.9330 6.9330 6.9330
angles: 132.12 132.12 70.04
Element x y z (fractional)
Ag (0.0000, 0.0000, 0.0000)
Ag (0.7500, 0.2500, 0.5000)
As (0.2500, 0.7500, 0.5000)
Pd (0.5000, 0.5000, 0.0000)
S (0.1551, 0.6274, 0.0374)
S (0.3726, 0.4100, 0.5277)
S (0.5900, 0.1177, 0.9626)
S (0.8823, 0.8449, 0.4723)

Values from the calculation:
Raw formation energy = -0.25 eV per formula unit

[2]
Material: Ca5UP4
Method: DFT, PBE-GGA
State: relaxed

abc: 9.0344 9.0344 8.0856
angles: 102.37 102.37 26.31
Element x y z (fractional)
Ca (0.0000, 0.0000, 0.0000)
Ca (0.3300, 0.3300, 0.6523)
Ca (0.3352, 0.3352, 0.1772)
Ca (0.6648, 0.6648, 0.8228)
Ca (0.6700, 0.6700, 0.3477)
U (0.0000, 0.0000, 0.5000)
P (0.1604, 0.1604, 0.5831)
P (0.4984, 0.4984, 0.7387)
P (0.5016, 0.5016, 0.2613)
P (0.8396, 0.8396, 0.4169)

Values from the calculation:
Calculated formation energy = -933 meV/atom

[3]
Material: La2Cd12Au7
Method: DFT, PBE-GGA
State: relaxed

abc: 11.3381 11.3381 4.3065
angles: 90.00 90.00 120.00
Element x y z (fractional)
La (0.0000, 0.0000, 0.0000)
La (0.3333, 0.6667, 0.5000)
Cd (0.0470, 0.7506, 0.5000)
Cd (0.1098, 0.3742, 0.0000)
Cd (0.2494, 0.2963, 0.5000)
Cd (0.2644, 0.8902, 0.0000)
Cd (0.3847, 0.2118, 0.0000)
Cd (0.5354, 0.1121, 0.5000)
Cd (0.5767, 0.4646, 0.5000)
Cd (0.6258, 0.7356, 0.0000)
Cd (0.7037, 0.9530, 0.5000)
Cd (0.7882, 0.1728, 0.0000)
Cd (0.8272, 0.6153, 0.0000)
Cd (0.8879, 0.4233, 0.5000)
Au (0.0845, 0.6014, 0.0000)
Au (0.2289, 0.0354, 0.5000)
Au (0.3986, 0.4831, 0.0000)
Au (0.5169, 0.9155, 0.0000)
Au (0.6667, 0.3333, 0.0000)
Au (0.8065, 0.7711, 0.5000)
Au (0.9646, 0.1935, 0.5000)

Values from the calculation:
Calculated formation energy = -349 meV/atom

[4]
Material: BaNaNiP
Method: DFT, PBE-GGA
State: relaxed

abc: 4.1172 4.1172 12.8525
angles: 90.00 90.00 90.00
Element x y z (fractional)
Ba (0.2500, 0.2500, 0.2029)
Ba (0.7500, 0.7500, 0.7971)
Na (0.2500, 0.7500, 0.5000)
Na (0.7500, 0.2500, 0.5000)
Ni (0.2500, 0.7500, 0.0000)
Ni (0.7500, 0.2500, 0.0000)
P (0.2500, 0.2500, 0.9184)
P (0.7500, 0.7500, 0.0816)

Values from the calculation:
Calculated formation energy = -490 meV/atom

[5]
Material: IrOsAu2
Method: DFT, PBE-GGA
State: relaxed

abc: 2.7529 4.8227 4.9413
angles: 90.00 90.00 90.00
Element x y z (fractional)
Ir (0.0000, 0.0000, 0.0000)
Os (0.5000, 0.5000, 0.0000)
Au (0.0000, 0.5000, 0.5000)
Au (0.5000, 0.0000, 0.5000)

Values from the calculation:
Calculated formation energy = 606 meV/atom
Relative energy among the computed polymorphs = 1.482 eV per formula unit

[6]
Material: SrHgPt
Method: DFT, PBE-GGA
State: relaxed

abc: 4.5435 5.6800 6.6783
angles: 79.18 70.13 89.93
Element x y z (fractional)
Sr (0.1248, 0.3098, 0.2499)
Sr (0.8752, 0.6902, 0.7501)
Hg (0.4150, 0.2452, 0.6700)
Hg (0.5850, 0.7548, 0.3300)
Pt (0.2199, 0.8609, 0.0603)
Pt (0.7801, 0.1391, 0.9397)

Values from the calculation:
Calculated formation energy = -610 meV/atom

[7]
Material: Ce2Ga7Pd
Method: DFT, PBE-GGA
State: relaxed

abc: 4.3224 4.3224 10.5141
angles: 90.00 90.00 90.00
Element x y z (fractional)
Ce (0.0000, 0.5000, 0.2470)
Ce (0.5000, 0.0000, 0.7530)
Ga (0.0000, 0.0000, 0.0000)
Ga (0.0000, 0.0000, 0.5000)
Ga (0.0000, 0.5000, 0.6377)
Ga (0.0000, 0.5000, 0.8706)
Ga (0.5000, 0.0000, 0.1294)
Ga (0.5000, 0.0000, 0.3623)
Ga (0.5000, 0.5000, 0.5000)
Pd (0.5000, 0.5000, 0.0000)

Values from the calculation:
Calculated formation energy = -524 meV/atom
Relative energy among the computed polymorphs = 0.269 eV per formula unit

[8]
Material: HfAg2PtC
Method: DFT, PBE-GGA
State: relaxed

abc: 5.3471 5.3471 4.8677
angles: 90.00 90.00 90.00
Element x y z (fractional)
Hf (0.0000, 0.0000, 0.0000)
Ag (0.0000, 0.5000, 0.0000)
Ag (0.5000, 0.0000, 0.0000)
Pt (0.0000, 0.0000, 0.5000)
C (0.5000, 0.5000, 0.5000)

Values from the calculation:
Calculated formation energy = 2310 meV/atom
Relative energy among the computed polymorphs = 3.728 eV per formula unit

[9]
Material: LaTbGa2Rh2
Method: DFT, PBE-GGA
State: relaxed

abc: 4.4042 4.4042 7.5476
angles: 90.00 90.00 120.00
Element x y z (fractional)
La (0.0000, 0.0000, 0.0000)
Tb (0.0000, 0.0000, 0.5000)
Ga (0.3333, 0.6667, 0.2724)
Ga (0.6667, 0.3333, 0.7276)
Rh (0.3333, 0.6667, 0.7215)
Rh (0.6667, 0.3333, 0.2785)

Values from the calculation:
Calculated formation energy = -811 meV/atom

[10]
Material: CaMnSe
Method: DFT, PBE-GGA
State: relaxed

abc: 10.5739 10.5739 10.5739
angles: 21.44 21.44 21.44
Element x y z (fractional)
Ca (0.0000, 0.0000, 0.0000)
Ca (0.2147, 0.2147, 0.2147)
Mn (0.1063, 0.1063, 0.1063)
Mn (0.7446, 0.7446, 0.7446)
Se (0.4819, 0.4819, 0.4819)
Se (0.6060, 0.6060, 0.6060)

Values from the calculation:
Raw formation energy = -2.11 eV per formula unit
Relative energy among the computed polymorphs = 0.217 eV per formula unit

[11]
Material: HoAl2Ag5
Method: DFT, PBE-GGA
State: relaxed

abc: 6.8879 6.8879 6.8879
angles: 148.98 110.30 78.24
Element x y z (fractional)
Ho (0.0000, 0.0000, 0.0000)
Al (0.2468, 0.7468, 0.5000)
Al (0.7532, 0.2532, 0.5000)
Ag (0.1540, 0.3612, 0.7928)
Ag (0.4315, 0.6388, 0.7928)
Ag (0.5000, 0.0000, 0.5000)
Ag (0.5685, 0.3612, 0.2072)
Ag (0.8460, 0.6388, 0.2072)

Values from the calculation:
Calculated formation energy = -145 meV/atom

[12]
Material: BaEu2Er
Method: DFT, PBE-GGA
State: relaxed

abc: 13.9241 13.9241 13.9241
angles: 15.48 15.48 15.48
Element x y z (fractional)
Ba (0.0000, 0.0000, 0.0000)
Eu (0.4186, 0.4186, 0.4186)
Eu (0.5814, 0.5814, 0.5814)
Er (0.5000, 0.5000, 0.5000)

Values from the calculation:
Calculated formation energy = 329 meV/atom
Relative energy among the computed polymorphs = 0.871 eV per formula unit

Asked for total energy across the records above, the calculation gives -32.30; -52.26; -51.11; -32.79; -24.22; -19.71; -43.49; -19.37; -35.18; -33.52; -27.48; -25.72 eV/cell in order.